The following is a PBE-GGA calculation of crystalline Ac4Rh2Br5 at its relaxed geometry, from the Alexandria database.

Properties
* N(E_F): 5.32 states/eV per cell
* magnetization: 0.85 μB/f.u.
* calculated density: 6.50 g/cm³
* raw formation energy: -0.81 eV per atom

```
Ac4Rh2Br5
1.0
4.093 0.000 0.000
0.000 9.749 0.000
-2.046 -4.874 9.695
Br Ac Rh
5 4 2
Cartesian
2.046 0.000 0.000
0.000 7.381 3.084
2.046 -2.506 6.611
2.046 2.506 6.611
0.000 2.368 3.084
0.000 6.988 0.000
2.046 4.874 3.370
0.000 0.000 6.325
0.000 2.761 0.000
0.000 0.000 3.886
2.046 4.874 5.809
```